An optimized crystal structure of LaCu2S3. Source: Alexandria, functional PBE-GGA.

* energy relative to the elements, uncorrected: -90 kJ per mole of atoms
* total moment: 0.00 μB per formula unit
* uncorrected energy: -5.183 eV/atom
* space group: Cmcm, No. 63

Unit cell a=4.9004 b=7.1741 c=7.1741 alpha=108.80 beta=90.00 gamma=90.00
Closest atoms and distances in Å follow each position.
Fractional positions:
La 0.2500 0.2695 0.7305  8 S 2.94-3.12
La 0.7500 0.7305 0.2695  8 S 2.94-3.12
Cu 0.0000 0.1854 0.1854  4 S 2.29-2.37, 2 Cu 2.45
Cu 0.5000 0.1854 0.1854  4 S 2.29-2.37, 2 Cu 2.45
Cu 0.0000 0.8146 0.8146  4 S 2.29-2.37, 2 Cu 2.45
Cu 0.5000 0.8146 0.8146  4 S 2.29-2.37, 2 Cu 2.45
S 0.7500 0.1129 0.8871  4 Cu 2.37
S 0.7500 0.1608 0.4462  2 Cu 2.29
S 0.2500 0.4462 0.1608  2 Cu 2.29
S 0.7500 0.5538 0.8392  2 Cu 2.29
S 0.2500 0.8392 0.5538  2 Cu 2.29
S 0.2500 0.8871 0.1129  4 Cu 2.37